1.
The following is a PBE-GGA calculation of an optimized crystal structure of Tb2TmPaN4, from Alexandria.

Geometry as POSCAR:
```
Tb2TmPaN4
1.0
-2.584 2.008 -1.211
-0.555 -3.586 -4.762
-3.596 -1.978 4.391
Tb Tm N Pa
2 1 4 1
Direct
0.500 0.000 0.500 Tb
0.000 0.500 0.500 Tb
0.500 0.500 0.000 Tm
0.500 0.757 0.763 N
0.000 0.754 0.235 N
0.500 0.243 0.237 N
0.000 0.246 0.765 N
0.000 0.000 0.000 Pa
```

Values from the calculation:
As for the total DFT energy (no corrections): -8.78 eV per atom. Its symmetry is No. 10.


2.
The following is a PBE-GGA calculation of an optimized crystal structure of TlAsSe2, from Alexandria.

Geometry as POSCAR:
```
TlAsSe2
1.0
-1.083 1.011 -3.264
-3.080 -3.919 -0.192
-3.710 2.812 2.103
Tl Se As
1 2 1
Direct
0.500 0.000 0.500 Tl
0.000 0.000 0.000 Se
0.500 0.500 0.000 Se
0.000 0.500 0.500 As
```

Values from the calculation:
As for the total DFT energy (no corrections): -3.13 eV per atom. Its symmetry is No. 47.


3.
The following is a PBE-GGA calculation of an optimized crystal structure of La2BRh2, from Alexandria.

Geometry as POSCAR:
```
La2BRh2
1.0
-4.105 0.895 4.433
4.015 -2.034 4.128
1.709 4.670 0.640
La B Rh
4 2 4
Direct
0.325 0.175 0.500 La
0.175 0.675 0.500 La
0.825 0.325 0.500 La
0.675 0.825 0.500 La
0.500 0.500 0.000 B
0.000 0.000 0.000 B
0.836 0.664 0.000 Rh
0.664 0.164 0.000 Rh
0.336 0.836 0.000 Rh
0.164 0.336 0.000 Rh
```

Values from the calculation:
As for the total DFT energy (no corrections): -6.47 eV per atom. For the formation enthalpy at 0 K, the calculation gives -0.226 eV/atom. The energy above the most stable polymorph in this dataset comes out at 0.142 eV/atom. Its symmetry is No. 127.


4.
The following is a PBE-GGA calculation of an optimized crystal structure of MnTlIn2Co, from Alexandria.

Geometry as POSCAR:
```
MnTlIn2Co
1.0
5.037 0.000 0.000
0.000 5.085 0.000
0.000 0.000 5.037
Mn In Tl Co
1 2 1 1
Direct
0.000 0.000 0.000 Mn
0.500 0.000 0.000 In
0.000 0.000 0.500 In
0.000 0.500 0.000 Tl
0.500 0.500 0.500 Co
```

Values from the calculation:
As for the total DFT energy (no corrections): -3.93 eV per atom. For the formation enthalpy at 0 K, the calculation gives 0.889 eV/atom. Its symmetry is No. 123.


5.
The following is a PBE-GGA calculation of an optimized crystal structure of K2ZrPb, from Alexandria.

Geometry as POSCAR:
```
K2ZrPb
1.0
10.911 0.054 0.005
10.139 4.030 0.005
0.858 0.166 4.198
Zr K Pb
1 2 1
Direct
0.250 0.250 0.250 Zr
0.407 0.407 0.588 K
0.093 0.093 0.912 K
0.750 0.750 0.750 Pb
```

Values from the calculation:
As for the total DFT energy (no corrections): -3.42 eV per atom. For the formation enthalpy at 0 K, the calculation gives 0.190 eV/atom. The energy above the most stable polymorph in this dataset comes out at 0.000 eV/atom. Its symmetry is No. 12.


6.
The following is a PBE-GGA calculation of an optimized crystal structure of TlCuRh2, from Alexandria.

Geometry as POSCAR:
```
TlCuRh2
1.0
-3.162 1.684 1.633
-1.714 -3.530 0.321
1.282 -1.975 9.268
Rh Cu Tl
4 2 2
Direct
0.875 0.825 0.750 Rh
0.375 0.425 0.750 Rh
0.575 0.125 0.250 Rh
0.175 0.625 0.250 Rh
0.500 0.500 0.000 Cu
0.250 0.750 0.500 Cu
0.750 0.250 0.500 Tl
0.000 0.000 0.000 Tl
```

Values from the calculation:
As for the total DFT energy (no corrections): -4.84 eV per atom. For the formation enthalpy at 0 K, the calculation gives 0.454 eV/atom. Its symmetry is No. 122.


Q: Which formula does entry 3 have?
A: La2BRh2